1.
A relaxed Na2PrPuO4 crystal. Source: the Alexandria database, functional PBE.

Raw formation energy: -1903 kJ/mol of formula units
M_tot: 5.00 μB per cell

Cell: 6.007 3.576 6.178 Å, 90.00 110.13 90.00°
Atoms (fractional coordinates):
Na (0.000, 0.000, 0.000)
Na (0.000, 0.500, 0.500)
Pr (0.500, 0.000, 0.500)
Pu (0.500, 0.500, 0.000)
O (0.281, 0.500, 0.254)
O (0.286, 0.000, 0.771)
O (0.714, 0.000, 0.229)
O (0.719, 0.500, 0.746)


2.
A relaxed V2IrRh2 crystal. Source: the Alexandria database, functional PBE.

ΔH_f (0 K): -222 meV per atom
Excess energy over the best structure of this formula in the dataset: 0.000 eV per atom
M_tot: 0.00 μB per cell

Cell: 7.096 7.096 2.827 Å, 90.00 90.00 90.00°
Atoms (fractional coordinates):
V (0.171, 0.329, 0.000)
V (0.329, 0.829, 0.000)
V (0.671, 0.171, 0.000)
V (0.829, 0.671, 0.000)
Ir (0.000, 0.000, 0.500)
Ir (0.500, 0.500, 0.500)
Rh (0.131, 0.631, 0.500)
Rh (0.369, 0.131, 0.500)
Rh (0.631, 0.869, 0.500)
Rh (0.869, 0.369, 0.500)


3.
A relaxed CaGa4Ag6 crystal. Source: the Alexandria database, functional PBE.

ΔH_f (0 K): -135 meV per atom
Excess energy over the best structure of this formula in the dataset: 0.000 eV per atom
M_tot: 0.00 μB per cell

Cell: 7.566 7.566 4.279 Å, 90.00 90.00 120.00°
Atoms (fractional coordinates):
Ca (0.000, 0.000, 0.000)
Ga (0.333, 0.667, 0.000)
Ga (0.392, 0.196, 0.500)
Ga (0.804, 0.196, 0.500)
Ga (0.804, 0.608, 0.500)
Ag (0.203, 0.406, 0.500)
Ag (0.203, 0.797, 0.500)
Ag (0.537, 0.074, 0.000)
Ag (0.537, 0.463, 0.000)
Ag (0.594, 0.797, 0.500)
Ag (0.926, 0.463, 0.000)


4.
A relaxed Tb2Pm12Nd5 crystal. Source: the Alexandria database, functional PBE.

ΔH_f (0 K): 166 meV per atom
Excess energy over the best structure of this formula in the dataset: 0.071 eV per atom
M_tot: 0.00 μB per cell

Cell: 10.049 10.049 10.534 Å, 109.98 109.98 42.04°
Atoms (fractional coordinates):
Tb (0.221, 0.779, 0.000)
Tb (0.779, 0.221, 0.000)
Pm (0.002, 0.002, 0.322)
Pm (0.082, 0.585, 0.479)
Pm (0.093, 0.589, 0.133)
Pm (0.411, 0.907, 0.867)
Pm (0.415, 0.918, 0.521)
Pm (0.475, 0.475, 0.757)
Pm (0.525, 0.525, 0.243)
Pm (0.585, 0.082, 0.479)
Pm (0.589, 0.093, 0.133)
Pm (0.907, 0.411, 0.867)
Pm (0.918, 0.415, 0.521)
Pm (0.998, 0.998, 0.678)
Nd (0.175, 0.175, 0.209)
Nd (0.314, 0.314, 0.816)
Nd (0.500, 0.500, 0.500)
Nd (0.686, 0.686, 0.184)
Nd (0.825, 0.825, 0.791)


5.
A relaxed CsRbZnAs crystal. Source: the Alexandria database, functional PBE.

ΔH_f (0 K): -251 meV per atom
Excess energy over the best structure of this formula in the dataset: 0.031 eV per atom
M_tot: 0.00 μB per cell

Cell: 6.142 6.142 5.198 Å, 90.00 90.00 120.00°
Atoms (fractional coordinates):
Cs (0.000, 0.000, 0.000)
Rb (0.667, 0.333, 0.439)
Zn (0.333, 0.667, 0.748)
As (0.333, 0.667, 0.256)


6.
A relaxed Pu2RhF crystal. Source: the Alexandria database, functional PBE.

Raw formation energy: -431 kJ/mol of formula units
Excess energy over the best structure of this formula in the dataset: 0.036 eV per atom
M_tot: 11.38 μB per cell

Cell: 3.295 3.295 7.208 Å, 90.00 90.00 90.00°
Atoms (fractional coordinates):
Pu (0.000, 0.000, 0.247)
Pu (0.000, 0.000, 0.753)
Rh (0.500, 0.500, 0.000)
F (0.500, 0.500, 0.500)


7.
A relaxed LaB2Os2 crystal. Source: the Alexandria database, functional PBE.

ΔH_f (0 K): -455 meV per atom
M_tot: 0.00 μB per cell

Cell: 6.872 6.080 5.668 Å, 71.50 57.04 51.47°
Atoms (fractional coordinates):
La (0.125, 0.125, 0.125)
La (0.875, 0.875, 0.875)
B (0.193, 0.557, 0.193)
B (0.443, 0.807, 0.443)
B (0.557, 0.193, 0.557)
B (0.807, 0.443, 0.807)
Os (0.238, 0.238, 0.512)
Os (0.488, 0.488, 0.762)
Os (0.512, 0.512, 0.238)
Os (0.762, 0.762, 0.488)


8.
A relaxed BaLi2Tl2 crystal. Source: the Alexandria database, functional PBE.

ΔH_f (0 K): -207 meV per atom
Excess energy over the best structure of this formula in the dataset: 0.071 eV per atom
M_tot: 0.00 μB per cell

Cell: 8.865 8.865 3.458 Å, 90.00 90.00 90.00°
Atoms (fractional coordinates):
Ba (0.000, 0.000, 0.000)
Ba (0.500, 0.500, 0.000)
Li (0.119, 0.381, 0.000)
Li (0.381, 0.881, 0.000)
Li (0.619, 0.119, 0.000)
Li (0.881, 0.619, 0.000)
Tl (0.170, 0.670, 0.500)
Tl (0.330, 0.170, 0.500)
Tl (0.670, 0.830, 0.500)
Tl (0.830, 0.330, 0.500)